1.
# Sr2Os | the Alexandria database | PBE-GGA | optimized geometry
# Energy (eV/atom): -4.12
# ΔE_f (eV per atom): 0.747
# Symmetry: Fm-3m (225)
data_Sr2Os
_space_group_name_H-M_alt 'P 1'
_space_group_IT_number 1
_cell_length_a 7.2307
_cell_length_b 7.2307
_cell_length_c 7.2307
_cell_angle_alpha 90.00
_cell_angle_beta 90.00
_cell_angle_gamma 90.00
loop_
_space_group_symop_operation_xyz
'x,y,z'
loop_
_atom_site_label
_atom_site_fract_x
_atom_site_fract_y
_atom_site_fract_z
Sr1 0.7503 0.7503 0.2497
Sr2 0.2497 0.2497 0.7503
Sr3 0.2503 0.7497 0.7503
Sr4 0.7497 0.2503 0.2497
Sr5 0.2497 0.2503 0.2503
Sr6 0.7503 0.7497 0.7497
Sr7 0.7497 0.2497 0.7497
Sr8 0.2503 0.7503 0.2503
Os1 0.0000 0.0000 0.0000
Os2 0.5000 0.5000 0.0000
Os3 0.5000 0.0000 0.5000
Os4 0.0000 0.5000 0.5000


2.
# Y2SeBr | the Alexandria database | PBE-GGA | optimized geometry
# Energy (eV/atom): -4.84
# Energy above the lowest structure with this stoichiometry (meV per atom): 1026.5
# Symmetry: F-43m (216)
# ΔE_f (raw) (kJ/mol of atoms): -30.8
data_Y2SeBr
_space_group_name_H-M_alt 'P 1'
_space_group_IT_number 1
_cell_length_a 5.3141
_cell_length_b 5.3141
_cell_length_c 5.3141
_cell_angle_alpha 60.00
_cell_angle_beta 60.00
_cell_angle_gamma 60.00
loop_
_space_group_symop_operation_xyz
'x,y,z'
loop_
_atom_site_label
_atom_site_fract_x
_atom_site_fract_y
_atom_site_fract_z
Br1 0.5000 0.5000 0.5000
Se1 0.7500 0.7500 0.7500
Y1 0.0000 0.0000 0.0000
Y2 0.2500 0.2500 0.2500


3.
# Ac3Mg9Ag2 | the Alexandria database | PBE-GGA | optimized geometry
# Energy (eV/atom): -2.41
# ΔE_f (eV per atom): -0.095
# Symmetry: Immm (71)
data_Ac3Mg9Ag2
_space_group_name_H-M_alt 'P 1'
_space_group_IT_number 1
_cell_length_a 5.1787
_cell_length_b 9.0819
_cell_length_c 9.0819
_cell_angle_alpha 72.72
_cell_angle_beta 73.43
_cell_angle_gamma 73.43
loop_
_space_group_symop_operation_xyz
'x,y,z'
loop_
_atom_site_label
_atom_site_fract_x
_atom_site_fract_y
_atom_site_fract_z
Ac1 0.0000 0.0000 0.0000
Ac2 0.7086 0.2914 0.2914
Ac3 0.2914 0.7086 0.7086
Mg1 0.0000 0.5000 0.5000
Mg2 0.6458 0.9978 0.7105
Mg3 0.3542 0.0022 0.2895
Mg4 0.6458 0.7105 0.9978
Mg5 0.3542 0.2895 0.0022
Mg6 0.8687 0.8482 0.4144
Mg7 0.1313 0.1518 0.5856
Mg8 0.8687 0.4144 0.8482
Mg9 0.1313 0.5856 0.1518
Ag1 0.5000 0.3344 0.6656
Ag2 0.5000 0.6656 0.3344


4.
# KPm2HgTe4 | the Alexandria database | PBE-GGA | optimized geometry
# Energy (eV/atom): -3.97
# Symmetry: Cmcm (63)
# ΔE_f (raw) (kJ/mol of atoms): -99.6
data_KPm2HgTe4
_space_group_name_H-M_alt 'P 1'
_space_group_IT_number 1
_cell_length_a 4.5530
_cell_length_b 7.9911
_cell_length_c 16.4143
_cell_angle_alpha 90.00
_cell_angle_beta 90.00
_cell_angle_gamma 106.55
loop_
_space_group_symop_operation_xyz
'x,y,z'
loop_
_atom_site_label
_atom_site_fract_x
_atom_site_fract_y
_atom_site_fract_z
K1 0.1374 0.2748 0.7500
K2 0.8626 0.7252 0.2500
Pm1 0.3754 0.7508 0.5674
Pm2 0.6246 0.2492 0.0674
Pm3 0.6246 0.2492 0.4326
Pm4 0.3754 0.7508 0.9326
Hg1 0.8396 0.6793 0.7500
Hg2 0.1604 0.3207 0.2500
Te1 0.2674 0.5348 0.1014
Te2 0.7326 0.4652 0.6014
Te3 0.7326 0.4652 0.8986
Te4 0.2674 0.5348 0.3986
Te5 0.0000 0.0000 0.5000
Te6 0.0000 0.0000 0.0000
Te7 0.4603 0.9205 0.7500
Te8 0.5397 0.0795 0.2500


5.
# RbCd4In6 | the Alexandria database | PBE-GGA | optimized geometry
# Energy (eV/atom): -1.95
# ΔE_f (eV per atom): -0.039
# Symmetry: P-6m2 (187)
data_RbCd4In6
_space_group_name_H-M_alt 'P 1'
_space_group_IT_number 1
_cell_length_a 4.8575
_cell_length_b 8.6366
_cell_length_c 8.6366
_cell_angle_alpha 120.00
_cell_angle_beta 90.00
_cell_angle_gamma 90.00
loop_
_space_group_symop_operation_xyz
'x,y,z'
loop_
_atom_site_label
_atom_site_fract_x
_atom_site_fract_y
_atom_site_fract_z
Rb1 0.0000 0.0000 0.0000
Cd1 0.5000 0.7932 0.5864
Cd2 0.5000 0.4136 0.2068
Cd3 0.5000 0.7932 0.2068
Cd4 0.0000 0.3333 0.6667
In1 0.0000 0.5336 0.0671
In2 0.5000 0.5986 0.7993
In3 0.0000 0.5336 0.4664
In4 0.0000 0.9329 0.4664
In5 0.5000 0.2007 0.7993
In6 0.5000 0.2007 0.4014


6.
# TaTe2H | the Alexandria database | PBE-GGA | optimized geometry
# Energy (eV/atom): -4.88
# Energy above the lowest structure with this stoichiometry (meV per atom): 909.9
# Symmetry: I-42d (122)
data_TaTe2H
_space_group_name_H-M_alt 'P 1'
_space_group_IT_number 1
_cell_length_a 5.9092
_cell_length_b 5.9092
_cell_length_c 6.9261
_cell_angle_alpha 64.75
_cell_angle_beta 64.75
_cell_angle_gamma 90.00
loop_
_space_group_symop_operation_xyz
'x,y,z'
loop_
_atom_site_label
_atom_site_fract_x
_atom_site_fract_y
_atom_site_fract_z
H1 0.5000 0.5000 0.0000
H2 0.2500 0.7500 0.5000
Te1 0.5784 0.1250 0.2500
Te2 0.1716 0.6250 0.2500
Te3 0.3750 0.4216 0.7500
Te4 0.8750 0.8284 0.7500
Ta1 0.0000 0.0000 0.0000
Ta2 0.7500 0.2500 0.5000


7.
# EuGeP | the Alexandria database | PBE-GGA | optimized geometry
# Energy (eV/atom): -7.38
# ΔE_f (eV per atom): -0.609
# Symmetry: P-6m2 (187)
data_EuGeP
_space_group_name_H-M_alt 'P 1'
_space_group_IT_number 1
_cell_length_a 4.1151
_cell_length_b 4.3772
_cell_length_c 4.3772
_cell_angle_alpha 120.00
_cell_angle_beta 90.00
_cell_angle_gamma 90.00
loop_
_space_group_symop_operation_xyz
'x,y,z'
loop_
_atom_site_label
_atom_site_fract_x
_atom_site_fract_y
_atom_site_fract_z
Eu1 0.6667 0.6667 0.3333
P1 0.1673 0.3333 0.6667
Ge1 0.1660 0.0000 0.0000


8.
# TaAl2Tl | the Alexandria database | PBE-GGA | optimized geometry
# Energy (eV/atom): -5.17
# Energy above the lowest structure with this stoichiometry (meV per atom): 136.3
# ΔE_f (eV per atom): 0.259
# Symmetry: Imm2 (44)
data_TaAl2Tl
_space_group_name_H-M_alt 'P 1'
_space_group_IT_number 1
_cell_length_a 5.7376
_cell_length_b 5.7376
_cell_length_c 5.7376
_cell_angle_alpha 148.96
_cell_angle_beta 128.70
_cell_angle_gamma 61.18
loop_
_space_group_symop_operation_xyz
'x,y,z'
loop_
_atom_site_label
_atom_site_fract_x
_atom_site_fract_y
_atom_site_fract_z
Tl1 0.2460 0.7460 0.5000
Al1 0.9884 0.9884 0.0000
Al2 0.7506 0.2506 0.5000
Ta1 0.5150 0.5150 0.0000


9.
# La5PrTlIn2 | the Alexandria database | PBE-GGA | optimized geometry
# Energy (eV/atom): -4.34
# ΔE_f (eV per atom): -0.198
# Symmetry: I4/mcm (140)
data_La5PrTlIn2
_space_group_name_H-M_alt 'P 1'
_space_group_IT_number 1
_cell_length_a 8.2694
_cell_length_b 8.2694
_cell_length_c 10.9202
_cell_angle_alpha 112.25
_cell_angle_beta 112.25
_cell_angle_gamma 90.00
loop_
_space_group_symop_operation_xyz
'x,y,z'
loop_
_atom_site_label
_atom_site_fract_x
_atom_site_fract_y
_atom_site_fract_z
La1 0.9348 0.4348 0.2626
La2 0.6722 0.1722 0.7374
La3 0.0652 0.5652 0.7374
La4 0.1722 0.0652 0.7374
La5 0.5652 0.6722 0.7374
La6 0.8278 0.9348 0.2626
La7 0.4348 0.3278 0.2626
La8 0.3278 0.8278 0.2626
La9 0.5000 0.5000 0.0000
La10 0.0000 0.0000 0.0000
Pr1 0.2500 0.2500 0.5000
Pr2 0.7500 0.7500 0.5000
Tl1 0.2500 0.7500 0.5000
Tl2 0.7500 0.2500 0.5000
In1 0.1172 0.3828 0.0000
In2 0.6172 0.1172 0.0000
In3 0.3828 0.8828 0.0000
In4 0.8828 0.6172 0.0000


10.
# TaAsPb2 | the Alexandria database | PBE-GGA | optimized geometry
# Energy (eV/atom): -5.36
# ΔE_f (eV per atom): 0.617
# Symmetry: C2/m (12)
data_TaAsPb2
_space_group_name_H-M_alt 'P 1'
_space_group_IT_number 1
_cell_length_a 6.0197
_cell_length_b 6.0678
_cell_length_c 3.1335
_cell_angle_alpha 75.29
_cell_angle_beta 89.52
_cell_angle_gamma 119.59
loop_
_space_group_symop_operation_xyz
'x,y,z'
loop_
_atom_site_label
_atom_site_fract_x
_atom_site_fract_y
_atom_site_fract_z
Pb1 0.0000 0.0000 0.0000
Pb2 0.5000 0.0000 0.5000
As1 0.5000 0.5000 0.0000
Ta1 0.0000 0.5000 0.5000


11.
# PaCd5Rh6 | the Alexandria database | PBE-GGA | optimized geometry
# Energy (eV/atom): -5.23
# ΔE_f (eV per atom): -0.379
# Symmetry: Cmmm (65)
data_PaCd5Rh6
_space_group_name_H-M_alt 'P 1'
_space_group_IT_number 1
_cell_length_a 4.6446
_cell_length_b 6.5498
_cell_length_c 7.2534
_cell_angle_alpha 90.00
_cell_angle_beta 71.33
_cell_angle_gamma 90.00
loop_
_space_group_symop_operation_xyz
'x,y,z'
loop_
_atom_site_label
_atom_site_fract_x
_atom_site_fract_y
_atom_site_fract_z
Pa1 0.0000 0.0000 0.0000
Rh1 0.8405 0.7559 0.3190
Rh2 0.8405 0.2441 0.3190
Rh3 0.5000 0.2436 0.0000
Rh4 0.5000 0.7564 0.0000
Rh5 0.1595 0.7559 0.6810
Rh6 0.1595 0.2441 0.6810
Cd1 0.6687 0.5000 0.6626
Cd2 0.3268 0.0000 0.3463
Cd3 0.0000 0.5000 0.0000
Cd4 0.6732 0.0000 0.6537
Cd5 0.3313 0.5000 0.3374


12.
# ZrNpCl6 | the Alexandria database | PBE-GGA | optimized geometry
# Energy (eV/atom): -5.77
# Symmetry: C2/m (12)
# ΔE_f (raw) (kJ/mol of atoms): -163.5
data_ZrNpCl6
_space_group_name_H-M_alt 'P 1'
_space_group_IT_number 1
_cell_length_a 7.0313
_cell_length_b 7.0313
_cell_length_c 6.6404
_cell_angle_alpha 95.47
_cell_angle_beta 95.47
_cell_angle_gamma 112.57
loop_
_space_group_symop_operation_xyz
'x,y,z'
loop_
_atom_site_label
_atom_site_fract_x
_atom_site_fract_y
_atom_site_fract_z
Zr1 0.0000 0.0000 0.0000
Np1 0.0000 0.0000 0.5000
Cl1 0.2869 0.9823 0.2542
Cl2 0.9823 0.2869 0.2542
Cl3 0.0177 0.7131 0.7458
Cl4 0.7131 0.0177 0.7458
Cl5 0.2675 0.2675 0.8270
Cl6 0.7325 0.7325 0.1730


13.
# CaIn2Rh2 | the Alexandria database | PBE-GGA | optimized geometry
# Energy (eV/atom): -4.83
# ΔE_f (eV per atom): -0.396
# Symmetry: I4/mmm (139)
data_CaIn2Rh2
_space_group_name_H-M_alt 'P 1'
_space_group_IT_number 1
_cell_length_a 4.4036
_cell_length_b 4.4036
_cell_length_c 6.4515
_cell_angle_alpha 70.04
_cell_angle_beta 70.04
_cell_angle_gamma 90.00
loop_
_space_group_symop_operation_xyz
'x,y,z'
loop_
_atom_site_label
_atom_site_fract_x
_atom_site_fract_y
_atom_site_fract_z
Ca1 0.0000 0.0000 0.0000
Rh1 0.3902 0.3902 0.2196
Rh2 0.6098 0.6098 0.7804
In1 0.7500 0.2500 0.5000
In2 0.2500 0.7500 0.5000


14.
# BaSb2CI | the Alexandria database | PBE-GGA | optimized geometry
# Energy (eV/atom): -3.87
# Symmetry: P4/mmm (123)
# ΔE_f (raw) (kJ/mol of atoms): 30.5
data_BaSb2CI
_space_group_name_H-M_alt 'P 1'
_space_group_IT_number 1
_cell_length_a 4.7103
_cell_length_b 4.7103
_cell_length_c 7.2092
_cell_angle_alpha 90.00
_cell_angle_beta 90.00
_cell_angle_gamma 90.00
loop_
_space_group_symop_operation_xyz
'x,y,z'
loop_
_atom_site_label
_atom_site_fract_x
_atom_site_fract_y
_atom_site_fract_z
I1 0.0000 0.0000 0.5000
Sb1 0.0000 0.5000 0.0000
Sb2 0.5000 0.0000 0.0000
C1 0.0000 0.0000 0.0000
Ba1 0.5000 0.5000 0.5000


15.
# Nb2VH2 | the Alexandria database | PBE-GGA | optimized geometry
# Energy (eV/atom): -7.20
# Energy above the lowest structure with this stoichiometry (meV per atom): 141.9
# Symmetry: Cmc2_1 (36)
data_Nb2VH2
_space_group_name_H-M_alt 'P 1'
_space_group_IT_number 1
_cell_length_a 2.7214
_cell_length_b 4.9444
_cell_length_c 8.5555
_cell_angle_alpha 90.00
_cell_angle_beta 90.00
_cell_angle_gamma 105.97
loop_
_space_group_symop_operation_xyz
'x,y,z'
loop_
_atom_site_label
_atom_site_fract_x
_atom_site_fract_y
_atom_site_fract_z
Nb1 0.8839 0.7679 0.1436
Nb2 0.3702 0.7404 0.8115
Nb3 0.1161 0.2321 0.6436
Nb4 0.6298 0.2596 0.3115
V1 0.6274 0.2549 0.9722
V2 0.3726 0.7451 0.4722
H1 0.2013 0.4025 0.1262
H2 0.9911 0.9821 0.9318
H3 0.7987 0.5975 0.6262
H4 0.0089 0.0179 0.4318


16.
# CaUTc | the Alexandria database | PBE-GGA | optimized geometry
# Energy (eV/atom): -7.92
# ΔE_f (eV per atom): -0.039
# Symmetry: P4/nmm (129)
data_CaUTc
_space_group_name_H-M_alt 'P 1'
_space_group_IT_number 1
_cell_length_a 4.7908
_cell_length_b 3.3888
_cell_length_c 12.0824
_cell_angle_alpha 90.00
_cell_angle_beta 90.00
_cell_angle_gamma 134.98
loop_
_space_group_symop_operation_xyz
'x,y,z'
loop_
_atom_site_label
_atom_site_fract_x
_atom_site_fract_y
_atom_site_fract_z
U1 0.2500 0.5001 0.0739
U2 0.7500 0.4999 0.9261
Ca1 0.2504 0.5008 0.3645
Ca2 0.7496 0.4992 0.6355
Tc1 0.2498 0.4997 0.8121
Tc2 0.7502 0.5003 0.1879


17.
# Co2P2Br | the Alexandria database | PBE-GGA | optimized geometry
# Energy (eV/atom): -5.35
# Symmetry: I4/mmm (139)
# ΔE_f (raw) (kJ/mol of atoms): -0.5
data_Co2P2Br
_space_group_name_H-M_alt 'P 1'
_space_group_IT_number 1
_cell_length_a 6.8402
_cell_length_b 6.8402
_cell_length_c 6.8402
_cell_angle_alpha 149.34
_cell_angle_beta 149.34
_cell_angle_gamma 43.91
loop_
_space_group_symop_operation_xyz
'x,y,z'
loop_
_atom_site_label
_atom_site_fract_x
_atom_site_fract_y
_atom_site_fract_z
Co1 0.6511 0.6511 0.0000
Co2 0.3489 0.3489 0.0000
P1 0.2500 0.7500 0.5000
P2 0.7500 0.2500 0.5000
Br1 0.0000 0.0000 0.0000


18.
# AlHg2P | the Alexandria database | PBE-GGA | optimized geometry
# Energy (eV/atom): -2.01
# Energy above the lowest structure with this stoichiometry (meV per atom): 475.9
# ΔE_f (eV per atom): 0.429
# Symmetry: Cmmm (65)
data_AlHg2P
_space_group_name_H-M_alt 'P 1'
_space_group_IT_number 1
_cell_length_a 3.2358
_cell_length_b 3.2358
_cell_length_c 8.3364
_cell_angle_alpha 90.00
_cell_angle_beta 90.00
_cell_angle_gamma 106.80
loop_
_space_group_symop_operation_xyz
'x,y,z'
loop_
_atom_site_label
_atom_site_fract_x
_atom_site_fract_y
_atom_site_fract_z
P1 0.5000 0.5000 0.2500
Hg1 0.0000 0.0000 0.0006
Hg2 0.0000 0.0000 0.4994
Al1 0.5000 0.5000 0.7500


19.
# HoPu3Ge4 | the Alexandria database | PBE-GGA | optimized geometry
# Energy (eV/atom): -8.60
# ΔE_f (eV per atom): -0.349
# Symmetry: Immm (71)
data_HoPu3Ge4
_space_group_name_H-M_alt 'P 1'
_space_group_IT_number 1
_cell_length_a 3.7352
_cell_length_b 6.5438
_cell_length_c 8.9403
_cell_angle_alpha 111.48
_cell_angle_beta 102.06
_cell_angle_gamma 90.00
loop_
_space_group_symop_operation_xyz
'x,y,z'
loop_
_atom_site_label
_atom_site_fract_x
_atom_site_fract_y
_atom_site_fract_z
Ho1 0.5000 0.0000 0.0000
Pu1 0.0000 0.5000 0.0000
Pu2 0.2020 0.2021 0.4041
Pu3 0.7980 0.7979 0.5959
Ge1 0.3714 0.5653 0.7428
Ge2 0.6286 0.4347 0.2572
Ge3 0.6287 0.8227 0.2573
Ge4 0.3713 0.1773 0.7427


20.
# KHgI3O | the Alexandria database | PBE-GGA | optimized geometry
# Energy (eV/atom): -2.40
# Symmetry: Pna2_1 (33)
# ΔE_f (raw) (kJ/mol of atoms): -54.4
data_KHgI3O
_space_group_name_H-M_alt 'P 1'
_space_group_IT_number 1
_cell_length_a 7.9003
_cell_length_b 9.2394
_cell_length_c 13.2558
_cell_angle_alpha 90.00
_cell_angle_beta 90.00
_cell_angle_gamma 90.00
loop_
_space_group_symop_operation_xyz
'x,y,z'
loop_
_atom_site_label
_atom_site_fract_x
_atom_site_fract_y
_atom_site_fract_z
K1 0.5779 0.3189 0.6128
K2 0.4221 0.6811 0.1128
K3 0.9221 0.8189 0.1128
K4 0.0779 0.1811 0.6128
Hg1 0.8990 0.3677 0.2954
Hg2 0.1010 0.6323 0.7954
Hg3 0.6010 0.8677 0.7954
Hg4 0.3990 0.1323 0.2954
I1 0.0274 0.3875 0.0903
I2 0.9726 0.6125 0.5903
I3 0.4726 0.8875 0.5903
I4 0.5274 0.1125 0.0903
I5 0.7744 0.1278 0.8220
I6 0.2256 0.8722 0.3220
I7 0.7256 0.6278 0.3220
I8 0.2744 0.3722 0.8220
I9 0.7613 0.1148 0.3837
I10 0.2387 0.8852 0.8837
I11 0.7387 0.6148 0.8837
I12 0.2613 0.3852 0.3837
O1 0.8876 0.4189 0.5933
O2 0.1124 0.5811 0.0933
O3 0.6124 0.9189 0.0933
O4 0.3876 0.0811 0.5933